Record 1
PrZn3Rh3 (PBE, relaxed); formation energy = 0.86 eV/f.u.; N(E_F) = 5.94 states/eV per cell; uncorrected energy = -4.257 eV per atom; M_tot = 0.0 μB/f.u.
1.0
6.700 0.000 0.000
0.000 6.700 0.000
0.000 0.000 6.700
Pr Zn Rh
2 6 6
Direct
0.000 0.000 0.000
0.500 0.500 0.500
0.000 0.250 0.500
0.000 0.750 0.500
0.250 0.500 0.000
0.500 0.000 0.250
0.500 0.000 0.750
0.750 0.500 0.000
0.000 0.500 0.250
0.000 0.500 0.750
0.250 0.000 0.500
0.500 0.250 0.000
0.500 0.750 0.000
0.750 0.000 0.500

---

Record 2
ZnInGa (PBE, relaxed); formation energy = 0.19 eV/f.u.; N(E_F) = 1.47 states/eV per cell; uncorrected energy = -2.284 eV per atom; M_tot = 0.0 μB/f.u.
1.0
3.053 0.000 0.000
-1.279 5.271 0.000
-0.072 -1.096 7.693
Zn In Ga
2 2 2
Direct
0.208 0.393 0.368
0.792 0.607 0.632
0.095 0.145 0.703
0.905 0.855 0.297
0.358 0.725 0.940
0.642 0.275 0.060

---

Record 3
TaMnV2 (PBE, relaxed); formation energy = -0.08 eV/f.u.; N(E_F) = 4.68 states/eV per cell; relative energy among the computed polymorphs = 0.059 eV per atom; uncorrected energy = -9.835 eV per atom; M_tot = 0.0 μB/f.u.
1.0
0.000 3.026 3.026
3.026 0.000 3.026
3.026 3.026 0.000
Ta Mn V
1 1 2
Direct
0.000 0.000 0.000
0.500 0.500 0.500
0.250 0.250 0.250
0.750 0.750 0.750